# 1
{"formula": "LiHg2Rh", "functional": "PBEsol", "state": "optimized geometry", "cell": [[3.2313, 0.0000, 0.0000], [0.0000, 4.5199, 0.0000], [0.0000, 0.0000, 4.5205]], "species": ["Li", "Hg", "Hg", "Rh"], "fractional_positions": [[0.0000, 0.0000, 0.0000], [0.5000, 0.0000, 0.4994], [0.5000, 0.5000, 0.9982], [0.0000, 0.5000, 0.4981]], "ef_ev_per_fu": -0.9, "magmom_total_mub_per_atom": 0.0000, "n_ef_per_ev_atom": 0.37}

# 2
{"formula": "Sn3RhSe", "functional": "PBEsol", "state": "optimized geometry", "cell": [[5.0372, 0.0000, 0.0000], [0.0000, 5.0372, 0.0000], [0.0000, 0.0000, 5.0372]], "species": ["Sn", "Sn", "Sn", "Rh", "Se"], "fractional_positions": [[0.0000, 0.0000, 0.5000], [0.0000, 0.5000, 0.0000], [0.5000, 0.0000, 0.0000], [0.0000, 0.0000, 0.0000], [0.5000, 0.5000, 0.5000]], "magmom_total_mub_per_atom": 0.0000, "raw_formation_energy_ev_per_atom": -0.14, "n_ef_per_ev_atom": 0.46}

# 3
{"formula": "LiY2Ta", "functional": "PBEsol", "state": "optimized geometry", "cell": [[5.4037, 0.0000, 0.0000], [0.0000, 3.0691, 0.0000], [-2.5354, 0.0000, 5.5643]], "species": ["Li", "Y", "Y", "Ta"], "fractional_positions": [[0.0000, 0.0000, 0.0000], [0.5000, 0.0000, 0.5000], [0.5000, 0.5000, 0.0000], [0.0000, 0.5000, 0.5000]], "ef_ev_per_fu": 2.0, "magmom_total_mub_per_atom": 0.0001, "n_ef_per_ev_atom": 1.03}

# 4
{"formula": "Li2TiOs", "functional": "PBEsol", "state": "optimized geometry", "cell": [[0.0000, 2.9327, 2.9327], [2.9327, 0.0000, 2.9327], [2.9327, 2.9327, 0.0000]], "species": ["Li", "Li", "Ti", "Os"], "fractional_positions": [[0.2500, 0.2500, 0.2500], [0.7500, 0.7500, 0.7500], [0.0000, 0.0000, 0.0000], [0.5000, 0.5000, 0.5000]], "ef_ev_per_fu": 1.7, "magmom_total_mub_per_atom": 0.0001, "n_ef_per_ev_atom": 0.58}

# 5
{"formula": "Be2ReOs", "functional": "PBEsol", "state": "optimized geometry", "cell": [[0.0000, 2.7986, 2.7986], [2.7986, 0.0000, 2.7986], [2.7986, 2.7986, 0.0000]], "species": ["Be", "Be", "Re", "Os"], "fractional_positions": [[0.2500, 0.2500, 0.2500], [0.7500, 0.7500, 0.7500], [0.0000, 0.0000, 0.0000], [0.5000, 0.5000, 0.5000]], "ef_ev_per_fu": 0.4, "magmom_total_mub_per_atom": 0.0003, "n_ef_per_ev_atom": 1.08}

# 6
{"formula": "Pr2SeO2", "functional": "PBEsol", "state": "optimized geometry", "cell": [[4.0023, 0.0000, 0.0000], [-2.0011, 3.4661, 0.0000], [0.0000, 0.0000, 7.0306]], "species": ["Pr", "Pr", "Se", "O", "O"], "fractional_positions": [[0.3333, 0.6667, 0.2876], [0.6667, 0.3333, 0.7124], [0.0000, 0.0000, 0.0000], [0.3333, 0.6667, 0.6260], [0.6667, 0.3333, 0.3740]], "magmom_total_mub_per_atom": 0.0000, "raw_formation_energy_ev_per_atom": -3.00, "n_ef_per_ev_atom": 0.00}

Number 1: total DFT energy (no corrections) -12.135 eV for the cell shown. Number 2: total DFT energy (no corrections) -25.464 eV for the cell shown. Number 3: total DFT energy (no corrections) -26.153 eV for the cell shown. Number 4: total DFT energy (no corrections) -22.766 eV for the cell shown. Number 5: total DFT energy (no corrections) -33.184 eV for the cell shown. Number 6: total DFT energy (no corrections) -39.730 eV for the cell shown.